# 1
A plane-wave DFT calculation with PBE-GGA was carried out for a relaxed structure of BaPrTc.

Output
SG	No. 216
relative energy among the computed polymorphs	0.000	eV/atom

abc: 5.090 5.090 5.090
angles: 60.00 60.00 60.00
Sites, in units of the cell vectors:
Ba (0.250, 0.250, 0.250)
Pr (0.000, 0.000, 0.000)
Tc (0.750, 0.750, 0.750)

---

# 2
A plane-wave DFT calculation with PBE-GGA was carried out for a relaxed structure of Ba2PrTe3.

Output
SG	No. 164
final energy	-4.656	eV per atom

abc: 4.780 4.780 12.021
angles: 90.00 90.00 120.00
Sites, in units of the cell vectors:
Ba (0.333, 0.667, 0.175)
Ba (0.667, 0.333, 0.825)
Pr (0.000, 0.000, 0.500)
Te (0.000, 0.000, 0.000)
Te (0.667, 0.333, 0.354)
Te (0.333, 0.667, 0.646)

---

# 3
A plane-wave DFT calculation with PBE-GGA was carried out for a relaxed structure of BaPrZnTe3.

Output
SG	No. 63
final energy	-4.047	eV per atom

abc: 7.773 7.773 11.890
angles: 90.00 90.00 144.48
Sites, in units of the cell vectors:
Ba (0.254, 0.746, 0.250)
Ba (0.746, 0.254, 0.750)
Pr (0.500, 0.500, 0.000)
Pr (0.500, 0.500, 0.500)
Te (0.860, 0.140, 0.071)
Te (0.574, 0.426, 0.250)
Te (0.860, 0.140, 0.429)
Te (0.140, 0.860, 0.571)
Te (0.426, 0.574, 0.750)
Te (0.140, 0.860, 0.929)
Zn (0.979, 0.021, 0.250)
Zn (0.021, 0.979, 0.750)

---

# 4
A plane-wave DFT calculation with PBE-GGA was carried out for a relaxed structure of BaPrTh.

Output
SG	No. 216
final energy	-3.619	eV per atom

abc: 5.628 5.628 5.628
angles: 60.00 60.00 60.00
Sites, in units of the cell vectors:
Ba (0.000, 0.000, 0.000)
Pr (0.250, 0.250, 0.250)
Th (0.750, 0.750, 0.750)

---

# 5
A plane-wave DFT calculation with PBE-GGA was carried out for a relaxed structure of BaPrTl.

Output
SG	No. 216
relative energy among the computed polymorphs	0.000	eV/atom

abc: 5.651 5.651 5.651
angles: 60.00 60.00 60.00
Sites, in units of the cell vectors:
Ba (0.250, 0.250, 0.250)
Pr (0.750, 0.750, 0.750)
Tl (0.000, 0.000, 0.000)

---

# 6
A plane-wave DFT calculation with PBE-GGA was carried out for a relaxed structure of BaPrZn.

Output
SG	No. 216
relative energy among the computed polymorphs	0.000	eV/atom

abc: 5.435 5.435 5.435
angles: 60.00 60.00 60.00
Last column: magnetic moment on the atom in μB.
Sites, in units of the cell vectors:
Ba (0.250, 0.250, 0.250)  0.05
Pr (0.750, 0.750, 0.750)  0.14
Zn (0.000, 0.000, 0.000)  0.02

---

# 7
A plane-wave DFT calculation with PBE-GGA was carried out for a relaxed structure of BaPrZr.

Output
SG	No. 216
relative energy among the computed polymorphs	0.000	eV/atom

abc: 5.587 5.587 5.587
angles: 60.00 60.00 60.00
Last column: magnetic moment on the atom in μB.
Sites, in units of the cell vectors:
Ba (0.250, 0.250, 0.250)  0.13
Pr (0.750, 0.750, 0.750)  0.39
Zr (0.000, 0.000, 0.000)  1.24

---

# 8
A plane-wave DFT calculation with PBE-GGA was carried out for a relaxed structure of BaPt4.

Output
SG	No. 139
final energy	-5.462	eV per atom

abc: 6.254 6.254 6.254
angles: 137.94 137.94 60.99
Sites, in units of the cell vectors:
Ba (0.000, 0.000, 0.000)
Pt (0.383, 0.383, 0.000)
Pt (0.617, 0.617, 0.000)
Pt (0.750, 0.250, 0.500)
Pt (0.250, 0.750, 0.500)

---

# 9
A plane-wave DFT calculation with PBE-GGA was carried out for a relaxed structure of Ba7Pt3.

Output
SG	No. 186
final energy	-3.695	eV per atom

abc: 11.267 11.267 7.343
angles: 90.00 90.00 120.00
Sites, in units of the cell vectors:
Ba (0.333, 0.667, 0.028)
Ba (0.541, 0.082, 0.075)
Ba (0.541, 0.459, 0.075)
Ba (0.918, 0.459, 0.075)
Ba (0.125, 0.250, 0.247)
Ba (0.125, 0.875, 0.247)
Ba (0.750, 0.875, 0.247)
Ba (0.667, 0.333, 0.528)
Ba (0.082, 0.541, 0.575)
Ba (0.459, 0.541, 0.575)
Ba (0.459, 0.918, 0.575)
Ba (0.250, 0.125, 0.747)
Ba (0.875, 0.125, 0.747)
Ba (0.875, 0.750, 0.747)
Pt (0.377, 0.189, 0.331)
Pt (0.811, 0.189, 0.331)
Pt (0.811, 0.623, 0.331)
Pt (0.189, 0.377, 0.831)
Pt (0.189, 0.811, 0.831)
Pt (0.623, 0.811, 0.831)

---

# 10
A plane-wave DFT calculation with PBE-GGA was carried out for a relaxed structure of RbBaPt.

Output
SG	No. 216
final energy	-3.215	eV per atom

abc: 5.462 5.462 5.462
angles: 60.00 60.00 60.00
Sites, in units of the cell vectors:
Ba (0.250, 0.250, 0.250)
Pt (0.000, 0.000, 0.000)
Rb (0.750, 0.750, 0.750)

---

# 11
A plane-wave DFT calculation with PBE-GGA was carried out for a relaxed structure of RbBaTl4Pt2.

Output
SG	No. 38
final energy	-3.353	eV per atom

abc: 8.496 6.407 6.407
angles: 41.04 90.00 90.00
Sites, in units of the cell vectors:
Ba (0.500, 0.554, 0.554)
Pt (0.500, 0.272, 0.272)
Pt (0.000, 0.724, 0.724)
Rb (0.000, 0.446, 0.446)
Tl (0.195, 0.156, 0.156)
Tl (0.805, 0.156, 0.156)
Tl (0.300, 0.846, 0.846)
Tl (0.700, 0.846, 0.846)

---

# 12
A plane-wave DFT calculation with PBE-GGA was carried out for a relaxed structure of BaRePt.

Output
SG	No. 216
relative energy among the computed polymorphs	0.000	eV/atom

abc: 4.939 4.939 4.939
angles: 60.00 60.00 60.00
Sites, in units of the cell vectors:
Ba (0.250, 0.250, 0.250)
Pt (0.000, 0.000, 0.000)
Re (0.750, 0.750, 0.750)